# 1
## LaCrPb2 (GGA-PBE)

Data for LaCrPb2 after structural relaxation.

```
LaCrPb2
1.0
-5.2570 -1.7617 2.5278
0.5942 -3.6249 4.8618
2.3897 5.3296 -1.7363
Pb Cr La
2 1 1
Direct
0.2500 0.7500 0.5000
0.0000 0.0000 0.0000
0.5000 0.5000 0.0000
0.7500 0.2500 0.5000
```

Calculated values
* raw total energy: -21.81 eV for the cell shown
* SG: No. 119

# 2
## Li2Nd4O (GGA-PBE)

Data for Li2Nd4O after structural relaxation.

```
Li2Nd4O
1.0
4.9711 0.0000 0.0000
0.0000 4.9711 0.0000
-2.4856 -2.4856 7.4736
Nd Li O
4 2 1
Direct
0.1735 0.1735 0.3471
0.8265 0.8265 0.6529
0.0000 0.5000 0.0000
0.5000 0.0000 0.0000
0.6265 0.6265 0.2531
0.3735 0.3735 0.7469
0.0000 0.0000 0.0000
```

Calculated values
* raw total energy: -32.03 eV for the cell shown
* SG: No. 139
* ΔE_f (raw): -0.60 eV/atom

# 3
## Cs2ZnSnI6 (GGA-PBE)

Data for Cs2ZnSnI6 after structural relaxation.

```
Cs2ZnSnI6
1.0
8.5326 0.0000 0.0000
0.0000 8.5326 0.0000
4.2663 4.2663 6.0318
I Zn Cs Sn
6 1 2 1
Direct
0.2604 0.2604 0.0000
0.2604 0.7396 0.0000
0.7393 0.7393 0.5214
0.7396 0.7396 0.0000
0.7396 0.2604 0.0000
0.2607 0.2607 0.4786
0.5000 0.5000 0.0000
0.2500 0.7500 0.5000
0.7500 0.2500 0.5000
0.0000 0.0000 0.0000
```

Calculated values
* raw total energy: -25.25 eV for the cell shown
* SG: No. 225
* ΔE_f (raw): -0.90 eV/atom

# 4
## Ce6PuBi2H (GGA-PBE)

Data for Ce6PuBi2H after structural relaxation.

```
Ce6PuBi2H
1.0
-2.3359 6.5739 -1.2257
-4.7493 -0.7149 5.2064
6.8692 -1.1358 1.2907
Ce Pu H Bi
6 1 1 2
Direct
0.2445 0.2555 0.0000
0.2445 0.7445 0.0001
0.2446 0.7446 0.4892
0.7554 0.2554 0.5108
0.7555 0.7445 0.0000
0.7555 0.2555 0.9999
0.0000 0.5000 0.0000
0.5000 0.0000 0.0000
0.2499 0.2500 0.5000
0.7501 0.7500 0.5000
```

Calculated values
* raw total energy: -66.63 eV for the cell shown
* SG: No. 139

# 5
## ZrReC3 (GGA-PBE)

Data for ZrReC3 after structural relaxation.

```
ZrReC3
1.0
-1.3015 3.6921 1.3306
0.2631 -1.3166 3.9107
3.9157 1.3156 0.1794
Re Zr C
1 1 3
Direct
0.5000 0.5000 0.5000
0.0000 0.0000 0.0000
0.0000 0.0000 0.5000
0.5000 0.0000 0.0000
0.0000 0.5000 0.0000
```

Calculated values
* raw total energy: -34.23 eV for the cell shown
* energy above the lowest structure with this stoichiometry: 1811 meV/atom
* SG: No. 221

# 6
## KSr2Co (GGA-PBE)

Data for KSr2Co after structural relaxation.

```
KSr2Co
1.0
-1.4241 -1.1479 6.6548
5.3352 0.2601 4.3704
-2.5307 4.0007 -5.0222
Co Sr K
1 2 1
Direct
0.5000 0.5000 0.0000
0.2500 0.7500 0.5000
0.0000 0.0000 0.0000
0.7500 0.2500 0.5000
```

Calculated values
* raw total energy: -8.72 eV for the cell shown
* energy above the lowest structure with this stoichiometry: 358 meV/atom
* SG: No. 119

# 7
## SbOs (GGA-PBE)

Data for SbOs after structural relaxation.

```
SbOs
1.0
-4.1931 -1.5998 -6.9698
1.6973 -5.3370 0.2039
-5.9367 -1.7363 3.9701
Os Sb
8 8
Direct
0.3984 0.9573 0.8246
0.1016 0.0427 0.3246
0.1106 0.2357 0.9817
0.8894 0.7357 0.5183
0.8984 0.5427 0.1754
0.6016 0.4573 0.6754
0.6106 0.2643 0.0183
0.3894 0.7643 0.4817
0.3447 0.5097 0.8794
0.8892 0.4963 0.8224
0.1553 0.4903 0.3794
0.1108 0.9963 0.6776
0.3892 0.0037 0.1776
0.6108 0.5037 0.3224
0.8447 0.9903 0.1206
0.6553 0.0097 0.6206
```

Calculated values
* raw total energy: -115.53 eV for the cell shown
* SG: No. 19
* ΔE_f (raw): 0.46 eV/atom

# 8
## ScCd22 (GGA-PBE)

Data for ScCd22 after structural relaxation.

```
ScCd22
1.0
-9.3397 1.2833 6.3731
-10.2551 -2.1579 -4.4349
-5.8637 -9.1382 3.4062
Cd Sc
44 2
Direct
0.3174 0.5583 0.8070
0.0583 0.8174 0.3174
0.5000 0.0000 0.5000
0.1930 0.1826 0.6826
0.0583 0.8174 0.8070
0.0000 0.5000 0.0000
0.3174 0.3070 0.0583
0.7652 0.9848 0.4848
0.5152 0.0152 0.2348
0.5000 0.5000 0.5000
0.6826 0.1826 0.9417
0.6826 0.1826 0.1930
0.6826 0.6930 0.6826
0.8070 0.5583 0.3174
0.1930 0.4417 0.6826
0.3174 0.3070 0.3174
0.5000 0.0000 0.0000
0.6826 0.4417 0.6826
0.8070 0.8174 0.0583
0.0000 0.0000 0.5000
0.2348 0.7348 0.5152
0.6826 0.6930 0.9417
0.1930 0.1826 0.9417
0.9417 0.6930 0.6826
0.4848 0.2652 0.4848
0.0583 0.3070 0.3174
0.9417 0.1826 0.1930
0.7652 0.2652 0.4848
0.2348 0.0152 0.2348
0.4848 0.9848 0.7652
0.3174 0.8174 0.8070
0.0000 0.0000 0.0000
0.6826 0.4417 0.1930
0.5152 0.7348 0.5152
0.7652 0.9848 0.7652
0.5152 0.7348 0.2348
0.3174 0.5583 0.3174
0.5000 0.5000 0.0000
0.4848 0.2652 0.7652
0.3174 0.8174 0.0583
0.9417 0.1826 0.6826
0.8070 0.8174 0.3174
0.0000 0.5000 0.5000
0.2348 0.0152 0.5152
0.8750 0.3750 0.8750
0.1250 0.6250 0.1250
```

Calculated values
* raw total energy: -52.98 eV for the cell shown
* SG: No. 227